The following is a DFT calculation (PBE-GGA) of a relaxed structure of Dy3PuAs4.

Formation energy from the elements   -1398 meV/atom
Fermi-level density of states   26.25 states/eV per cell
E above lowest polymorph   0 meV/atom
Calculated density   8649 kg/m³

a b c (Å): 8.2352 11.6450 4.1289
angles (deg): 90.00 90.00 90.00
Closest atoms and distances in Å follow each position.
Fractional positions:
Dy: 0.0000 0.0000 0.0000  6 As 2.92
Dy: 0.2500 0.2500 0.5000  6 As 2.91-2.92
Dy: 0.2500 0.7500 0.5000  6 As 2.91-2.92
Dy: 0.5000 0.5000 0.0000  6 As 2.92
Dy: 0.7500 0.2500 0.5000  6 As 2.91-2.92
Dy: 0.7500 0.7500 0.5000  6 As 2.91-2.92
Pu: 0.0000 0.5000 0.0000  6 As 2.90-2.91
Pu: 0.5000 0.0000 0.0000  6 As 2.90-2.91
As: 0.0000 0.2506 0.0000  1 Pu 2.90, 5 Dy 2.92
As: 0.0000 0.7494 0.0000  1 Pu 2.90, 5 Dy 2.92
As: 0.2489 0.5000 0.5000  2 Pu 2.91, 4 Dy 2.91-2.92
As: 0.2511 0.0000 0.5000  2 Pu 2.91, 4 Dy 2.91-2.92
As: 0.5000 0.2494 0.0000  1 Pu 2.90, 5 Dy 2.92
As: 0.5000 0.7506 0.0000  1 Pu 2.90, 5 Dy 2.92
As: 0.7489 0.0000 0.5000  2 Pu 2.91, 4 Dy 2.91-2.92
As: 0.7511 0.5000 0.5000  2 Pu 2.91, 4 Dy 2.91-2.92

---

The following is a DFT calculation (PBE-GGA) of a relaxed structure of ErTm2Ga2.

Formation energy from the elements   -365 meV/atom
Fermi-level density of states   8.62 states/eV per cell
E above lowest polymorph   150 meV/atom
Calculated density   8336 kg/m³

a b c (Å): 5.9246 3.6220 12.0606
angles (deg): 90.00 97.14 90.00
Closest atoms and distances in Å follow each position.
Fractional positions:
Er: 0.0398 0.2500 0.2884  5 Ga 2.94-3.11
Er: 0.9602 0.7500 0.7116  5 Ga 2.94-3.11
Tm: 0.2793 0.7500 0.0696  4 Ga 2.96-3.08
Tm: 0.4322 0.2500 0.6413  4 Ga 2.94-3.23
Tm: 0.5678 0.7500 0.3587  4 Ga 2.94-3.23
Tm: 0.7207 0.2500 0.9304  4 Ga 2.96-3.08
Ga: 0.1611 0.7500 0.4850  2 Ga 2.69, 3 Tm 2.94-3.01, 2 Er 3.00
Ga: 0.2130 0.2500 0.8738  2 Er 2.94, 5 Tm 2.96-3.23
Ga: 0.7870 0.7500 0.1262  2 Er 2.94, 5 Tm 2.96-3.23
Ga: 0.8389 0.2500 0.5150  2 Ga 2.69, 3 Tm 2.94-3.01, 2 Er 3.00

---

Number 1 is which compound? Dy3PuAs4